Arrangement i

Below is a relaxed CuPtCl crystal, with properties calculated at the PBE level.

a = 3.0229 Å, b = 3.1053 Å, c = 11.8930 Å
α = 90.00°, β = 90.00°, γ = 119.13°
Last column: nearest neighbours and their distance in Å.
Sites, in units of the cell vectors:
Cu1 0.6492 0.2985 0.0000  4 Cl 2.31
Cu2 0.3478 0.6956 0.5000  6 Pt 2.58-2.60
Pt1 0.6797 0.3594 0.3422  3 Cu 2.58-2.60, 2 Cl 2.78
Pt2 0.6797 0.3594 0.6578  3 Cu 2.58-2.60, 2 Cl 2.78
Cl1 0.1551 0.3102 0.8536  2 Cu 2.31
Cl2 0.1551 0.3102 0.1464  2 Cu 2.31

Arrangement ii

Below is a relaxed CuPtCl crystal, with properties calculated at the PBE level.

a = 6.6174 Å, b = 6.2778 Å, c = 3.0194 Å
α = 82.82°, β = 70.26°, γ = 26.92°
Last column: nearest neighbours and their distance in Å.
Sites, in units of the cell vectors:
Cu1 0.6597 0.6597 0.3403  2 Cl 2.30, 2 Pt 2.50
Pt1 0.3213 0.3213 0.6787  2 Cu 2.50
Cl1 0.0190 0.0190 0.9810  2 Cu 2.30

Arrangement iii

Below is a relaxed CuPtCl crystal, with properties calculated at the PBE level.

a = 5.8747 Å, b = 5.8747 Å, c = 5.8747 Å
α = 151.05°, β = 151.05°, γ = 41.40°
Last column: nearest neighbours and their distance in Å.
Sites, in units of the cell vectors:
Cu1 0.3332 0.3332 0.0000  4 Pt 2.66, 4 Cl 2.66, 4 Cu 2.94
Pt1 0.6817 0.6817 0.0000  4 Cu 2.66, 4 Pt 2.94
Cl1 0.9851 0.9851 0.0000  4 Cu 2.66, 4 Cl 2.94

Arrangement iv

Below is a relaxed CuPtCl crystal, with properties calculated at the PBE level.

a = 4.2793 Å, b = 4.2793 Å, c = 4.2793 Å
α = 60.00°, β = 60.00°, γ = 60.00°
Last column: nearest neighbours and their distance in Å.
Sites, in units of the cell vectors:
Cu1 0.5000 0.5000 0.5000  4 Pt 2.62
Pt1 0.7500 0.7500 0.7500  4 Cl 2.62, 4 Cu 2.62
Cl1 0.0000 0.0000 0.0000  4 Pt 2.62

Which one is the most stable? From the structures above, arrangement i.